Material: PrThTeRu
Method: DFT, GGA-PBE
State: relaxed

Cell lengths 4.1793, 4.1793, 23.1068 Å; angles 90.00, 90.00, 120.00 degrees
With the nearest neighbours (Å) after each atom.
Space group R3m (No. 160, hexagonal axes)
One atom of each set of equivalent atoms:
1 Pr 0.0000 0.0000 0.0000 (multiplicity 3)  3 Ru 3.00, 3 Te 3.30
2 Th 0.0000 0.0000 0.8031 (multiplicity 3)  3 Ru 2.77
3 Te 0.0000 0.0000 0.2358 (multiplicity 3)  3 Pr 3.30, 3 Th 3.33
4 Ru 0.0000 0.0000 0.4107 (multiplicity 3)  3 Th 2.77, 3 Pr 3.00

Summary:
Density of states at the Fermi level   0.722 states/eV per atom
Calculated total energy   -6.940 eV per atom
M_tot   0.00 μB per cell